# 1
A relaxed structure of RbBa2BiTe4. Source: Alexandria, functional GGA-PBE.

Summary:
Formation energy (no corrections) (eV/atom): -1.083

abc: 9.7960 9.8720 13.7863
angles: 90.00 90.00 90.00
Space group Imma (No. 74)
Asymmetric unit:
Rb1 0.0000 0.0000 0.0000 x4
Ba1 0.0000 0.0000 0.5000 x4
Ba2 0.2500 0.2500 0.2500 x4
Bi1 0.2500 0.2500 0.7500 x4
Te1 0.0000 0.0250 0.7486 x8
Te2 0.2431 0.2500 0.5134 x8

---

# 2
A relaxed structure of MgF3. Source: Alexandria, functional GGA-PBE.

Summary:
Formation energy (no corrections) (eV/atom): -2.271

abc: 5.2817 5.2817 9.7381
angles: 90.00 90.00 90.00
Space group I-42d (No. 122)
Asymmetric unit:
Mg1 0.0000 0.0000 0.0000 x4
F1 0.0000 0.0000 0.5000 x4
F2 0.1060 0.2500 0.1250 x8

---

# 3
A relaxed structure of Zr2CrCl. Source: Alexandria, functional GGA-PBE.

Summary:
Formation energy (no corrections) (eV/atom): 0.576

abc: 5.5745 5.5745 12.3955
angles: 90.00 90.00 90.00
Space group I-42d (No. 122)
Asymmetric unit:
Zr1 0.2015 0.2500 0.1250 x8
Cr1 0.0000 0.0000 0.0000 x4
Cl1 0.0000 0.0000 0.5000 x4

---

# 4
A relaxed structure of Ta2RhCl. Source: Alexandria, functional GGA-PBE.

Summary:
Formation energy (no corrections) (eV/atom): 0.501

abc: 3.7327 3.7327 9.6855
angles: 90.00 90.00 90.00
Space group I-4m2 (No. 119)
Asymmetric unit:
Ta1 0.0000 0.0000 0.0000 x2
Ta2 0.0000 0.5000 0.2500 x2
Rh1 0.0000 0.0000 0.5000 x2
Cl1 0.0000 0.5000 0.7500 x2

---

# 5
A relaxed structure of Pm2Mg2Cd. Source: Alexandria, functional GGA-PBE.

Summary:
Formation energy (kJ/mol of atoms): -11.68

abc: 5.0973 15.7857 3.3665
angles: 90.00 90.00 90.00
Space group Cmmm (No. 65)
Asymmetric unit:
Pm1 0.0000 0.1103 0.0000 x4
Mg1 0.0000 0.3002 0.5000 x4
Cd1 0.0000 0.5000 0.5000 x2

---

# 6
A relaxed structure of Sr3Zn2Ag. Source: Alexandria, functional GGA-PBE.

Summary:
Formation energy (kJ/mol of atoms): -20.16

abc: 3.8938 3.8938 11.8795
angles: 90.00 90.00 90.00
Space group P4/mmm (No. 123)
Asymmetric unit:
Sr1 0.0000 0.0000 0.0000 x1
Sr2 0.0000 0.0000 0.3320 x2
Zn1 0.5000 0.5000 0.1657 x2
Ag1 0.5000 0.5000 0.5000 x1

---

# 7
A relaxed structure of LiHPt. Source: Alexandria, functional GGA-PBE.

Summary:
Energy (Ry per atom): -0.3062

abc: 9.1703 2.7697 5.3358
angles: 90.00 92.90 90.00
Space group C2/m (No. 12)
Asymmetric unit:
Li1 0.1248 0.0000 0.3425 x4
H1 0.0716 0.5000 0.6843 x4
Pt1 0.1539 0.0000 0.8430 x4

---

# 8
A relaxed structure of RhF4. Source: Alexandria, functional GGA-PBE.

Summary:
Formation energy (no corrections) (eV/atom): -1.377

abc: 4.8168 5.5261 5.8536
angles: 62.85 89.89 90.00
Space group P-1 (No. 2)
Asymmetric unit:
Rh1 0.0000 0.0000 0.0000 x1
Rh2 0.5000 0.5000 0.0000 x1
F1 0.2150 0.8545 0.3027 x2
F2 0.2494 0.3264 0.8433 x2
F3 0.2513 0.8265 0.8433 x2
F4 0.2837 0.3545 0.3027 x2

---

# 9
A relaxed structure of RbNiSbS3. Source: Alexandria, functional GGA-PBE.

Summary:
Formation energy (no corrections) (eV/atom): -0.546

abc: 9.3036 3.9483 9.3362
angles: 90.00 103.49 90.00
Space group P2_1/m (No. 11)
Asymmetric unit:
Rb1 0.2126 0.2500 0.1609 x2
Ni1 0.4190 0.7500 0.9242 x2
Sb1 0.1481 0.2500 0.6469 x2
S1 0.1258 0.7500 0.4177 x2
S2 0.1644 0.7500 0.8466 x2
S3 0.4825 0.2500 0.8390 x2

---

# 10
A relaxed structure of SmTlPt. Source: Alexandria, functional GGA-PBE.

Summary:
Formation energy (kJ/mol of atoms): -74.73

abc: 13.9620 3.8574 7.9518
angles: 90.00 90.00 90.00
Space group Pmma (No. 51)
Asymmetric unit:
Sm1 0.0496 0.0000 0.2202 x4
Sm2 0.2500 0.0000 0.8390 x2
Tl1 0.1123 0.5000 0.5687 x4
Tl2 0.2500 0.5000 0.1846 x2
Pt1 0.0948 0.5000 0.9362 x4
Pt2 0.2500 0.0000 0.4492 x2

---

# 11
A relaxed structure of Er2In2Ag. Source: Alexandria, functional GGA-PBE.

Summary:
Formation energy (kJ/mol of atoms): -36.13

abc: 11.0616 4.7668 10.4151
angles: 90.00 113.41 90.00
Space group C2/m (No. 12)
Asymmetric unit:
Er1 0.0332 0.0000 0.3451 x4
Er2 0.1683 0.0000 0.0892 x4
In1 0.0343 0.5000 0.8715 x4
In2 0.1378 0.5000 0.5905 x4
Ag1 0.2250 0.5000 0.3380 x4

---

# 12
A relaxed structure of CeNd2O. Source: Alexandria, functional GGA-PBE.

Summary:
Formation energy (no corrections) (eV/atom): -1.085

abc: 3.5532 3.5532 28.6865
angles: 90.00 90.00 120.00
Space group R-3m (No. 166, hexagonal axes)
Asymmetric unit:
Ce1 0.0000 0.0000 0.0000 x3
Nd1 0.0000 0.0000 0.1171 x6
O1 0.0000 0.0000 0.5000 x3